Entry 1:
An optimized crystal structure of PrPbO3, computed with PBE.

```
10
Lattice="-5.170 -3.059 -1.723 -2.142 0.235 5.866 1.678 5.249 -2.948" Properties=species:S:1:pos:R:3 pbc="T T T"
Pr 0.000 0.000 0.000
O -5.484 -2.118 3.108
Pb -2.060 2.036 2.495
Pr -3.656 -1.412 2.072
O -4.829 -1.428 -0.010
Pb -3.574 0.389 -1.299
O -1.828 -0.706 1.036
O -0.805 3.853 1.206
O -1.308 1.572 -1.236
O -4.327 0.853 2.432
```

Summary:
symmetry: I4/mcm, No. 140
E_tot: -64.06 eV per cell
size of the total moment: 0.99 μB per formula unit
crystal system: tetragonal



Entry 2:
An optimized crystal structure of PrPbO3, computed with PBE.

```
10
Lattice="3.479 0.000 0.000 0.000 5.946 0.000 -0.219 0.000 7.259" Properties=species:S:1:pos:R:3 pbc="T T T"
Pr 2.503 1.487 4.693
Pr 0.757 4.460 2.566
O 2.516 5.789 1.254
O 0.745 0.157 6.004
O 2.496 4.460 4.080
O 0.745 2.816 6.004
O 0.764 1.487 3.178
O 2.516 3.130 1.254
Pb 2.404 4.460 6.440
Pb 0.856 1.487 0.818
```

Summary:
symmetry: P2_1/m, No. 11
E_tot: -65.91 eV per cell
size of the total moment: 0.46 μB per formula unit
crystal system: monoclinic



Q: Which value of E_tot does entry 2 give?
A: -65.91 eV per cell



Q: What is the formula in the second record?
A: PrPbO3